A geometry-optimized KSrIn2 structure. Source: Alexandria via LeMat-Bulk, functional PBE.

Density, Mg/m³: 4.0
Excess energy over the best structure of this formula in the dataset, meV per atom: 157
Density of states at the Fermi level, states/eV/cell: 5.10
SG: No. 166

Cell and atoms, written as CIF:
```
data_KSrIn2
_cell_length_a 11.5311
_cell_length_b 11.5311
_cell_length_c 11.5311
_cell_angle_alpha 19.51
_cell_angle_beta 19.51
_cell_angle_gamma 19.51
_space_group_name_H-M_alt 'P 1'
_space_group_IT_number 1
loop_
_space_group_symop_operation_xyz
'x,y,z'
loop_
_atom_site_label
_atom_site_type_symbol
_atom_site_fract_x
_atom_site_fract_y
_atom_site_fract_z
K1 K 0.0000 0.0000 0.0000
Sr1 Sr 0.5000 0.5000 0.5000
In1 In 0.2457 0.2457 0.2457
In2 In 0.7543 0.7543 0.7543
```